TaAl2Mo | meta-GGA SCAN | PBEsol geometry

Unit cell a=3.358 b=4.331 c=5.097 alpha=115.14 beta=109.23 gamma=90.00
Sites, in units of the cell vectors:
1 Mo 0.000 0.500 0.000
2 Ta 0.500 0.000 0.000
3 Al 0.744 0.744 0.488
4 Al 0.256 0.256 0.512

Values from the calculation:
Calculated volume (Å³ per cell): 62.5
Energy relative to the lowest polymorph listed for this composition (eV/atom): 0.020
Total DFT energy (no corrections) (eV per atom): -29.4924